Record 1
The following is a DFT calculation (PBE) of a geometry-optimized Ho6Ge3S14 structure.

Cell: 9.787 9.787 5.921 Å, 90.00 90.00 120.00°
Fractional coordinates of all 23 atoms:
1 Ho 0.029 0.555 0.000
2 Ho 0.307 0.112 0.512
3 Ho 0.445 0.474 0.000
4 Ho 0.526 0.971 0.000
5 Ho 0.806 0.693 0.512
6 Ho 0.888 0.194 0.512
7 Ge 0.000 0.000 0.935
8 Ge 0.333 0.667 0.425
9 Ge 0.667 0.333 0.301
10 S 0.000 0.000 0.310
11 S 0.091 0.854 0.770
12 S 0.146 0.237 0.770
13 S 0.187 0.429 0.262
14 S 0.243 0.813 0.262
15 S 0.333 0.667 0.801
16 S 0.409 0.181 0.070
17 S 0.509 0.438 0.565
18 S 0.562 0.071 0.565
19 S 0.571 0.757 0.262
20 S 0.763 0.909 0.770
21 S 0.772 0.591 0.070
22 S 0.819 0.228 0.070
23 S 0.929 0.491 0.565

Record 2
The following is a DFT calculation (PBE) of a geometry-optimized Ho6GeS5 structure.

Cell: 6.803 6.803 6.826 Å, 99.52 99.52 119.95°
Fractional coordinates of all 12 atoms:
1 Ho 0.083 0.417 0.750
2 Ho 0.250 0.250 0.250
3 Ho 0.417 0.083 0.750
4 Ho 0.583 0.917 0.250
5 Ho 0.750 0.750 0.750
6 Ho 0.917 0.583 0.250
7 Ge 0.000 0.000 0.500
8 S 0.166 0.834 0.000
9 S 0.333 0.667 0.500
10 S 0.500 0.500 0.000
11 S 0.667 0.333 0.500
12 S 0.834 0.166 0.000

Record 3
The following is a DFT calculation (PBE) of a geometry-optimized Ho8Ge5S structure.

Cell: 7.556 7.556 7.556 Å, 109.84 109.84 108.74°
Fractional coordinates of all 14 atoms:
1 Ho 0.115 0.371 0.114
2 Ho 0.134 0.380 0.624
3 Ho 0.257 0.001 0.886
4 Ho 0.489 0.866 0.246
5 Ho 0.620 0.244 0.754
6 Ho 0.629 0.743 0.744
7 Ho 0.756 0.511 0.376
8 Ho 0.999 0.885 0.256
9 Ge 0.250 0.750 0.500
10 Ge 0.379 0.254 0.376
11 Ge 0.746 0.122 0.125
12 Ge 0.878 0.003 0.624
13 Ge 0.997 0.621 0.875
14 S 0.500 0.500 0.000

Record 4
The following is a DFT calculation (PBE) of a geometry-optimized Ho3GeS6 structure.

Cell: 8.495 8.495 6.570 Å, 90.00 90.00 102.56°
Fractional coordinates of all 20 atoms:
1 Ho 0.098 0.902 0.500
2 Ho 0.215 0.413 0.583
3 Ho 0.413 0.215 0.083
4 Ho 0.587 0.785 0.583
5 Ho 0.785 0.587 0.083
6 Ho 0.902 0.098 0.000
7 Ge 0.300 0.700 0.124
8 Ge 0.700 0.300 0.624
9 S 0.062 0.599 0.308
10 S 0.133 0.191 0.291
11 S 0.191 0.133 0.791
12 S 0.282 0.718 0.746
13 S 0.401 0.938 0.308
14 S 0.464 0.536 0.279
15 S 0.536 0.464 0.779
16 S 0.599 0.062 0.808
17 S 0.718 0.282 0.246
18 S 0.809 0.867 0.291
19 S 0.867 0.809 0.791
20 S 0.938 0.401 0.808

Record 5
The following is a DFT calculation (PBE) of a geometry-optimized Ho2GeS structure.

Cell: 7.000 7.000 7.000 Å, 33.38 33.38 33.38°
Fractional coordinates of all 4 atoms:
1 Ho 0.250 0.250 0.250
2 Ho 0.750 0.750 0.750
3 Ge 0.000 0.000 0.000
4 S 0.500 0.500 0.500

Properties
The calculation puts the distance to the lowest polymorph of the same formula at 16 kJ/mol of formula units.

Record 6
The following is a DFT calculation (PBE) of a geometry-optimized HoGeS structure.

Cell: 5.072 5.072 8.145 Å, 98.87 98.87 43.23°
Fractional coordinates of all 6 atoms:
1 Ho 0.119 0.119 0.173
2 Ho 0.881 0.881 0.827
3 Ge 0.334 0.334 0.530
4 Ge 0.666 0.666 0.470
5 S 0.386 0.386 0.101
6 S 0.614 0.614 0.899

Record 7
The following is a DFT calculation (PBE) of a geometry-optimized HoGeS4 structure.

Cell: 5.558 8.856 6.388 Å, 90.00 107.99 90.00°
Fractional coordinates of all 12 atoms:
1 Ho 0.102 0.250 0.147
2 Ho 0.898 0.750 0.853
3 Ge 0.336 0.750 0.432
4 Ge 0.664 0.250 0.568
5 S 0.103 0.566 0.218
6 S 0.103 0.934 0.218
7 S 0.281 0.250 0.603
8 S 0.379 0.750 0.789
9 S 0.621 0.250 0.211
10 S 0.719 0.750 0.397
11 S 0.897 0.066 0.782
12 S 0.897 0.434 0.782

Record 8
The following is a DFT calculation (PBE) of a geometry-optimized Ho4GeS2 structure.

Cell: 6.969 11.846 4.061 Å, 90.00 90.00 90.00°
Fractional coordinates of all 14 atoms:
1 Ho 0.114 0.217 0.000
2 Ho 0.239 0.453 0.500
3 Ho 0.261 0.953 0.500
4 Ho 0.386 0.717 0.000
5 Ho 0.614 0.283 0.000
6 Ho 0.739 0.047 0.500
7 Ho 0.761 0.547 0.500
8 Ho 0.886 0.783 0.000
9 Ge 0.000 0.000 0.000
10 Ge 0.500 0.500 0.000
11 S 0.106 0.687 0.500
12 S 0.394 0.187 0.500
13 S 0.606 0.813 0.500
14 S 0.894 0.313 0.500

Record 9
The following is a DFT calculation (PBE) of a geometry-optimized Ho2GeS structure.

Cell: 6.967 6.967 6.967 Å, 131.84 131.84 70.49°
Fractional coordinates of all 8 atoms:
1 Ho 0.123 0.373 0.750
2 Ho 0.373 0.123 0.250
3 Ho 0.627 0.877 0.750
4 Ho 0.877 0.627 0.250
5 Ge 0.375 0.625 0.750
6 Ge 0.625 0.375 0.250
7 S 0.125 0.875 0.250
8 S 0.875 0.125 0.750

Properties
The calculation puts the distance to the lowest polymorph of the same formula at 0 kJ/mol of formula units.

Record 10
The following is a DFT calculation (PBE) of a geometry-optimized HoScGeS structure.

Cell: 6.847 6.847 6.847 Å, 33.10 33.10 33.10°
Fractional coordinates of all 4 atoms:
1 Ho 0.000 0.000 0.000
2 Sc 0.499 0.499 0.499
3 Ge 0.245 0.245 0.245
4 S 0.753 0.753 0.753

Record 11
The following is a DFT calculation (PBE) of a geometry-optimized Ho8GeSe3S3 structure.

Cell: 7.992 7.992 7.992 Å, 59.31 59.31 59.31°
Fractional coordinates of all 15 atoms:
1 Ho 0.239 0.749 0.749
2 Ho 0.242 0.242 0.242
3 Ho 0.251 0.251 0.761
4 Ho 0.251 0.761 0.251
5 Ho 0.749 0.239 0.749
6 Ho 0.749 0.749 0.239
7 Ho 0.758 0.758 0.758
8 Ho 0.761 0.251 0.251
9 Ge 0.500 0.500 0.500
10 Se 0.000 0.500 0.500
11 Se 0.500 0.000 0.500
12 Se 0.500 0.500 0.000
13 S 0.000 0.000 0.500
14 S 0.000 0.500 0.000
15 S 0.500 0.000 0.000

Record 12
The following is a DFT calculation (PBE) of a geometry-optimized Ho6Ge3Se2S structure.

Cell: 9.147 9.147 8.191 Å, 103.35 103.35 25.81°
Fractional coordinates of all 12 atoms:
1 Ho 0.003 0.003 0.249
2 Ho 0.334 0.334 0.425
3 Ho 0.336 0.336 0.909
4 Ho 0.664 0.664 0.091
5 Ho 0.666 0.666 0.575
6 Ho 0.997 0.997 0.751
7 Ge 0.168 0.168 0.335
8 Ge 0.500 0.500 0.000
9 Ge 0.832 0.832 0.665
10 Se 0.166 0.166 0.833
11 Se 0.834 0.834 0.167
12 S 0.500 0.500 0.500

Number 1: total energy -132.09 eV for the cell shown, total magnetic moment 0.0 Bohr magnetons per cell, formation energy (no corrections) -1434 meV/atom. Number 2: total energy -74.69 eV for the cell shown, total magnetic moment 0.0 Bohr magnetons per cell, formation energy (no corrections) -1830 meV/atom. Number 3: total energy -77.21 eV for the cell shown, total magnetic moment 0.0 Bohr magnetons per cell, formation energy (no corrections) -955 meV/atom. Number 4: total energy -117.66 eV for the cell shown, total magnetic moment 0.0 Bohr magnetons per cell, formation energy (no corrections) -1571 meV/atom. Number 5: total energy -23.67 eV for the cell shown, total magnetic moment 0.0 Bohr magnetons per cell, formation energy (no corrections) -1443 meV/atom. Number 6: total energy -32.86 eV for the cell shown, total magnetic moment 0.0 Bohr magnetons per cell, formation energy (no corrections) -1036 meV/atom. Number 7: total energy -61.13 eV for the cell shown, total magnetic moment 0.0 Bohr magnetons per cell, formation energy (no corrections) -810 meV/atom. Number 8: total energy -79.93 eV for the cell shown, total magnetic moment 0.0 Bohr magnetons per cell, formation energy (no corrections) -1255 meV/atom. Number 9: total energy -47.68 eV for the cell shown, total magnetic moment 0.0 Bohr magnetons per cell, formation energy (no corrections) -1485 meV/atom. Number 10: total energy -25.17 eV for the cell shown, total magnetic moment 0.0 Bohr magnetons per cell, formation energy (no corrections) -1378 meV/atom. Number 11: total energy -88.54 eV for the cell shown, total magnetic moment 0.0 Bohr magnetons per cell, formation energy (no corrections) -1631 meV/atom. Number 12: total energy -69.15 eV for the cell shown, total magnetic moment 0.0 Bohr magnetons per cell, formation energy (no corrections) -1395 meV/atom.